(1)
SCAN Ru2C, PBEsol geometry; total DFT energy (no corrections) = -25.67 eV/atom; offset from the most stable computed form = 0.5499 eV per atom
1.0
-0.284 2.077 1.890
-2.185 -3.176 3.162
5.622 0.424 0.380
C Ru
2 4
Direct
0.000 0.351 0.702 C
0.000 0.649 0.298 C
0.000 0.000 0.000 Ru
0.500 0.500 0.000 Ru
0.500 0.223 0.447 Ru
0.500 0.777 0.553 Ru

=====

(2)
SCAN RuC2, PBEsol geometry; total DFT energy (no corrections) = -16.82 eV/atom; offset from the most stable computed form = 0.8243 eV per atom
1.0
2.711 0.000 0.000
0.000 4.968 0.000
0.000 0.000 4.968
Ru C
2 4
Direct
0.000 0.500 0.500 Ru
0.500 0.000 0.000 Ru
0.000 0.788 0.788 C
0.000 0.212 0.212 C
0.500 0.712 0.288 C
0.500 0.288 0.712 C

=====

(3)
SCAN Ru2C, PBEsol geometry; total DFT energy (no corrections) = -25.29 eV/atom; offset from the most stable computed form = 0.9352 eV per atom
1.0
-1.887 2.937 -1.243
-0.799 -3.388 -1.270
-3.771 -0.667 4.151
C Ru
2 4
Direct
0.333 0.667 0.750 C
0.667 0.333 0.250 C
0.000 0.000 0.000 Ru
0.000 0.000 0.500 Ru
0.667 0.333 0.750 Ru
0.333 0.667 0.250 Ru

=====

(4)
SCAN Ru2C, PBEsol geometry; total DFT energy (no corrections) = -26.22 eV/atom; offset from the most stable computed form = 0.0000 eV per atom
1.0
-0.152 -1.073 -2.652
-3.437 -2.972 1.400
-3.384 3.364 -1.167
C Ru
2 4
Direct
0.000 0.000 0.000 C
0.500 0.500 0.500 C
0.000 0.354 0.762 Ru
0.000 0.646 0.238 Ru
0.500 0.146 0.262 Ru
0.500 0.854 0.738 Ru

=====

(5)
SCAN RuC2, PBEsol geometry; total DFT energy (no corrections) = -16.59 eV/atom; offset from the most stable computed form = 1.0599 eV per atom
1.0
2.967 0.000 0.000
0.000 2.967 0.000
0.000 0.000 5.904
Ru C
2 4
Direct
0.500 0.000 0.757 Ru
0.000 0.500 0.243 Ru
0.000 0.000 0.000 C
0.500 0.500 0.000 C
0.500 0.000 0.387 C
0.000 0.500 0.613 C

=====

(6)
SCAN RuC2, PBEsol geometry; total DFT energy (no corrections) = -16.40 eV/atom; offset from the most stable computed form = 1.2533 eV per atom
1.0
-1.389 -2.099 -2.354
-0.338 -3.362 0.675
-3.129 -1.346 0.524
Ru C
1 2
Direct
0.000 0.000 0.000 Ru
0.250 0.250 0.250 C
0.750 0.750 0.750 C

=====

(7)
SCAN Ru3C4, PBEsol geometry; total DFT energy (no corrections) = -19.42 eV/atom
1.0
4.163 0.000 0.000
0.000 4.163 0.000
0.000 0.000 4.163
C Ru
4 3
Direct
0.000 0.000 0.000 C
0.000 0.500 0.500 C
0.500 0.000 0.500 C
0.500 0.500 0.000 C
0.000 0.500 0.000 Ru
0.000 0.000 0.500 Ru
0.500 0.000 0.000 Ru

=====

(8)
SCAN Ru2C, PBEsol geometry; total DFT energy (no corrections) = -23.92 eV/atom; offset from the most stable computed form = 2.3019 eV per atom
1.0
4.886 0.000 0.000
2.443 4.232 0.000
2.443 1.411 3.990
C Ru
2 4
Direct
0.500 0.500 0.500 C
0.750 0.750 0.750 C
0.125 0.125 0.125 Ru
0.125 0.125 0.625 Ru
0.125 0.625 0.125 Ru
0.625 0.125 0.125 Ru

=====

(9)
SCAN RuC2, PBEsol geometry; total DFT energy (no corrections) = -17.65 eV/atom; offset from the most stable computed form = 0.0000 eV per atom
1.0
2.537 0.000 0.000
-1.269 2.197 0.000
0.000 0.000 9.584
Ru C
2 4
Direct
0.333 0.667 0.250 Ru
0.667 0.333 0.750 Ru
0.333 0.667 0.488 C
0.667 0.333 0.988 C
0.667 0.333 0.512 C
0.333 0.667 0.012 C

=====

(10)
SCAN RuC4, PBEsol geometry; total DFT energy (no corrections) = -12.49 eV/atom
1.0
-3.286 -0.034 -1.495
0.296 -0.505 3.721
0.580 3.298 -1.350
Ru C
1 4
Direct
0.000 0.000 0.000 Ru
0.750 0.500 0.250 C
0.250 0.500 0.750 C
0.635 0.270 0.635 C
0.365 0.730 0.365 C

=====

(11)
SCAN RuC2, PBEsol geometry; total DFT energy (no corrections) = -17.58 eV/atom; offset from the most stable computed form = 0.0732 eV per atom
1.0
-1.465 -1.497 -1.326
2.456 -0.339 -0.013
-0.602 -4.580 5.834
Ru C
1 2
Direct
0.000 0.000 0.000 Ru
0.333 0.667 0.500 C
0.667 0.333 0.500 C

=====

(12)
SCAN Ru2C, PBEsol geometry; total DFT energy (no corrections) = -26.17 eV/atom; offset from the most stable computed form = 0.0469 eV per atom
1.0
2.753 0.000 0.000
0.000 5.061 -0.021
-1.376 -1.650 4.814
C Ru
2 4
Direct
0.354 0.881 0.708 C
0.646 0.119 0.292 C
0.055 0.295 0.110 Ru
0.684 0.761 0.368 Ru
0.945 0.705 0.890 Ru
0.316 0.239 0.632 Ru

=====

(13)
SCAN Sb2RuCS, PBEsol geometry; total DFT energy (no corrections) = -24.27 eV/atom; E_form (uncorrected) = 1.5451 eV per atom
1.0
-3.364 0.084 -2.516
-0.900 -4.973 1.038
-2.957 1.370 4.000
Sb S C Ru
2 1 1 1
Direct
0.000 0.000 0.500 Sb
0.000 0.500 0.000 Sb
0.500 0.000 0.000 S
0.500 0.500 0.500 C
0.000 0.000 0.000 Ru

=====

(14)
SCAN Sb3RuC, PBEsol geometry; total DFT energy (no corrections) = -29.99 eV/atom; E_form (uncorrected) = 1.3496 eV per atom
1.0
-4.201 -0.943 -1.366
-0.669 -2.438 3.743
-1.519 3.683 2.128
Sb C Ru
3 1 1
Direct
0.000 0.500 0.000 Sb
0.000 0.000 0.500 Sb
0.500 0.000 0.000 Sb
0.000 0.000 0.000 C
0.500 0.500 0.500 Ru

=====

(15)
SCAN SbTe2RuC, PBEsol geometry; total DFT energy (no corrections) = -29.96 eV/atom; E_form (uncorrected) = 1.3813 eV per atom
1.0
4.490 0.000 0.000
0.000 4.590 0.000
0.000 0.000 4.590
Sb C Te Ru
1 1 2 1
Direct
0.500 0.000 0.000 Sb
0.000 0.000 0.000 C
0.000 0.000 0.500 Te
0.000 0.500 0.000 Te
0.500 0.500 0.500 Ru

=====

(16)
SCAN Sc3RuC, PBEsol geometry; total DFT energy (no corrections) = -17.88 eV/atom
1.0
4.378 0.000 0.000
0.000 4.378 0.000
0.000 0.000 4.378
Sc Ru C
3 1 1
Direct
0.000 0.500 0.000 Sc
0.000 0.000 0.500 Sc
0.500 0.000 0.000 Sc
0.500 0.500 0.500 Ru
0.000 0.000 0.000 C

=====

(17)
SCAN Sc2RuC2, PBEsol geometry; total DFT energy (no corrections) = -17.21 eV/atom
1.0
3.422 0.000 0.000
0.000 5.714 0.000
0.000 0.000 5.714
Sc Ru C
4 2 4
Direct
0.500 0.182 0.682 Sc
0.500 0.682 0.818 Sc
0.500 0.818 0.318 Sc
0.500 0.318 0.182 Sc
0.000 0.000 0.000 Ru
0.000 0.500 0.500 Ru
0.000 0.401 0.901 C
0.000 0.901 0.599 C
0.000 0.599 0.099 C
0.000 0.099 0.401 C

=====

(18)
SCAN Zr2RuCSe, PBEsol geometry; total DFT energy (no corrections) = -25.21 eV/atom; E_form (uncorrected) = 0.0703 eV per atom
1.0
-0.678 -3.084 -2.061
4.734 0.058 -1.643
1.375 -2.883 3.861
Ru C Se Zr
1 1 1 2
Direct
0.000 0.000 0.000 Ru
0.500 0.000 0.000 C
0.500 0.500 0.500 Se
0.000 0.000 0.500 Zr
0.000 0.500 0.000 Zr

=====

(19)
SCAN SmSiRu2C, PBEsol geometry; total DFT energy (no corrections) = -27.53 eV/atom; E_form (uncorrected) = -0.6833 eV per atom
1.0
-1.540 -0.666 3.469
5.801 -0.319 0.373
0.288 6.939 1.460
Sm Si Ru C
2 2 4 2
Direct
0.450 0.901 0.250 Sm
0.550 0.099 0.750 Sm
0.729 0.459 0.250 Si
0.271 0.541 0.750 Si
0.165 0.330 0.441 Ru
0.835 0.670 0.559 Ru
0.835 0.670 0.941 Ru
0.165 0.330 0.059 Ru
0.000 0.000 0.500 C
0.000 0.000 0.000 C

=====

(20)
SCAN TmSiRu2C, PBEsol geometry; total DFT energy (no corrections) = -29.02 eV/atom; E_form (uncorrected) = -0.6971 eV per atom
1.0
-1.398 -1.831 2.917
5.259 -2.182 -1.218
2.950 4.682 4.353
Tm Si Ru C
2 2 4 2
Direct
0.453 0.907 0.250 Tm
0.547 0.093 0.750 Tm
0.732 0.465 0.250 Si
0.268 0.535 0.750 Si
0.164 0.327 0.444 Ru
0.836 0.673 0.556 Ru
0.836 0.673 0.944 Ru
0.164 0.327 0.056 Ru
0.000 0.000 0.500 C
0.000 0.000 0.000 C

=====

(21)
SCAN YSiRu2C, PBEsol geometry; total DFT energy (no corrections) = -24.24 eV/atom; E_form (uncorrected) = -0.7208 eV per atom
1.0
3.781 0.000 0.000
-1.891 5.500 0.000
0.000 0.000 7.064
Y Si Ru C
2 2 4 2
Direct
0.452 0.905 0.250 Y
0.548 0.095 0.750 Y
0.731 0.462 0.250 Si
0.269 0.538 0.750 Si
0.164 0.329 0.442 Ru
0.836 0.671 0.558 Ru
0.836 0.671 0.942 Ru
0.164 0.329 0.058 Ru
0.000 0.000 0.500 C
0.000 0.000 0.000 C

=====

(22)
SCAN TcRu2WC, PBEsol geometry; total DFT energy (no corrections) = -36.62 eV/atom
1.0
3.944 0.000 0.000
0.000 3.944 0.000
0.000 0.000 4.124
Ru C Tc W
2 1 1 1
Direct
0.000 0.500 0.000 Ru
0.500 0.000 0.000 Ru
0.000 0.000 0.000 C
0.500 0.500 0.500 Tc
0.000 0.000 0.500 W

=====

(23)
SCAN ZrTeRu2C, PBEsol geometry; total DFT energy (no corrections) = -29.22 eV/atom; E_form (uncorrected) = 0.3226 eV per atom
1.0
4.015 0.000 0.000
0.000 4.015 0.000
0.000 0.000 4.819
Ru C Te Zr
2 1 1 1
Direct
0.000 0.500 0.000 Ru
0.500 0.000 0.000 Ru
0.000 0.000 0.000 C
0.000 0.000 0.500 Te
0.500 0.500 0.500 Zr

=====

(24)
SCAN ThRu3C, PBEsol geometry; total DFT energy (no corrections) = -42.39 eV/atom
1.0
-2.142 -3.271 1.475
3.340 -2.445 -0.572
1.311 0.886 3.868
Ru C Th
3 1 1
Direct
0.000 0.500 0.500 Ru
0.500 0.500 0.000 Ru
0.500 0.000 0.500 Ru
0.500 0.500 0.500 C
0.000 0.000 0.000 Th

=====

(25)
SCAN TlRuC2, PBEsol geometry; total DFT energy (no corrections) = -30.80 eV/atom
1.0
-3.289 2.421 -3.985
-1.743 -5.544 2.156
-4.443 -0.148 3.577
Ru Tl C
2 2 4
Direct
0.500 0.000 0.500 Ru
0.250 0.500 0.250 Ru
0.000 0.000 0.000 Tl
0.750 0.500 0.750 Tl
0.375 0.250 0.375 C
0.875 0.250 0.375 C
0.375 0.750 0.375 C
0.375 0.750 0.875 C

=====

(26)
SCAN TmRu3C, PBEsol geometry; total DFT energy (no corrections) = -33.60 eV/atom
1.0
-2.522 -2.119 2.417
-2.215 -1.080 -3.258
2.328 -3.322 -0.482
Ru C Tm
3 1 1
Direct
0.500 0.000 0.000 Ru
0.000 0.500 0.000 Ru
0.000 0.000 0.500 Ru
0.000 0.000 0.000 C
0.500 0.500 0.500 Tm

=====

(27)
SCAN U2RuC2, PBEsol geometry; total DFT energy (no corrections) = -52.59 eV/atom
1.0
3.396 0.000 0.000
0.000 3.396 0.000
-1.698 -1.698 6.160
U Ru C
2 1 2
Direct
0.356 0.356 0.712 U
0.644 0.644 0.288 U
0.000 0.000 0.000 Ru
0.173 0.173 0.345 C
0.827 0.827 0.655 C

=====

Number 1: total moment 0.0 μB/f.u., Fermi-level density of states 0.806 states/eV per atom. Number 2: total moment 0.0 μB/f.u., Fermi-level density of states 0.072 states/eV per atom. Number 3: total moment 0.0 μB/f.u., Fermi-level density of states 1.173 states/eV per atom. Number 4: total moment 0.0 μB/f.u., Fermi-level density of states 0.984 states/eV per atom. Number 5: total moment 0.0 μB/f.u., Fermi-level density of states 0.332 states/eV per atom. Number 6: total moment 0.0 μB/f.u., Fermi-level density of states 0.376 states/eV per atom. Number 7: total moment 0.0 μB/f.u., Fermi-level density of states 0.572 states/eV per atom. Number 8: total moment 1.8 μB/f.u., Fermi-level density of states 0.847 states/eV per atom. Number 9: total moment 0.0 μB/f.u., Fermi-level density of states 0.686 states/eV per atom. Number 10: total moment 0.0 μB/f.u., Fermi-level density of states 0.367 states/eV per atom. Number 11: total moment 1.1 μB/f.u., Fermi-level density of states 0.608 states/eV per atom. Number 12: total moment 0.0 μB/f.u., Fermi-level density of states 0.540 states/eV per atom. Number 13: total moment 0.8 μB/f.u., Fermi-level density of states 0.607 states/eV per atom. Number 14: total moment 0.0 μB/f.u., Fermi-level density of states 0.516 states/eV per atom. Number 15: total moment 0.0 μB/f.u., Fermi-level density of states 0.550 states/eV per atom. Number 16: total moment 0.0 μB/f.u., Fermi-level density of states 0.680 states/eV per atom. Number 17: total moment 0.0 μB/f.u., Fermi-level density of states 0.283 states/eV per atom. Number 18: total moment 0.0 μB/f.u., Fermi-level density of states 0.649 states/eV per atom. Number 19: total moment 0.0 μB/f.u., Fermi-level density of states 0.478 states/eV per atom. Number 20: total moment 0.0 μB/f.u., Fermi-level density of states 0.419 states/eV per atom. Number 21: total moment 0.0 μB/f.u., Fermi-level density of states 0.443 states/eV per atom. Number 22: total moment 0.0 μB/f.u., Fermi-level density of states 0.791 states/eV per atom. Number 23: total moment 0.0 μB/f.u., Fermi-level density of states 0.466 states/eV per atom. Number 24: total moment 0.0 μB/f.u., Fermi-level density of states 0.331 states/eV per atom. Number 25: total moment 0.0 μB/f.u., Fermi-level density of states 0.143 states/eV per atom. Number 26: total moment 0.0 μB/f.u., Fermi-level density of states 0.421 states/eV per atom. Number 27: total moment 1.3 μB/f.u., Fermi-level density of states 1.232 states/eV per atom.